Entry 1:
VASP calculation (PBE) on a geometry-optimized PuGa3Rh2 structure.

The structure in POSCAR format:
```
PuGa3Rh2
1.0
-0.447 -2.569 5.031
-4.126 -3.929 -2.373
5.183 -3.149 -1.147
Ga Rh Pu
6 4 2
Cartesian
-0.884 -5.893 -1.492
1.494 -3.754 3.003
-0.326 -1.988 3.743
-1.580 -4.012 2.598
0.936 -7.659 -2.232
2.190 -5.635 -1.087
-2.284 -5.041 0.414
-2.061 -3.756 -2.101
3.118 -3.322 -1.419
2.894 -4.607 1.097
0.276 -3.239 -0.034
0.334 -6.409 1.545
```

Results
D(E_F) = 27.05 states/eV per cell
space group = Cmcm (63)
E_form = -583 meV/atom
M_tot = 5.48 μB/f.u.

***

Entry 2:
VASP calculation (PBE) on a geometry-optimized Ac4TeRhAu2 structure.

The structure in POSCAR format:
```
Ac4TeRhAu2
1.0
-1.540 -3.507 -2.255
7.731 -3.150 -0.380
-3.302 -2.692 6.444
Ac Te Au Rh
4 1 2 1
Cartesian
0.580 -3.305 0.364
2.309 -6.045 3.446
4.758 -2.874 1.222
-0.329 -2.968 4.842
0.000 0.000 0.000
-2.421 -3.100 2.095
2.215 -2.921 3.032
3.096 -3.329 -1.317
```

Results
D(E_F) = 4.86 states/eV per cell
space group = P2/m (10)
uncorrected formation energy = -0.902 eV/atom
M_tot = 0.00 μB/f.u.

***

no.,energy (eV per atom)
1,-6.94
2,-5.09